Record 1
Computed, not measured: a geometry-optimized Sc2NiPd2 structure at the GGA-PBE level of DFT.

Output
Energy in eV for the cell shown: -60.5
E_form in eV per atom: -0.336
Spin magnetization in Bohr magnetons per cell: 0.2
Volume in Å³ per atom: 18.73

Cell lengths 3.6494, 3.6494, 14.0602 Å; angles 90.00, 90.00, 90.00 degrees
Space group I4/mmm (No. 139)
One atom of each set of equivalent atoms:
Sc: 0.0000 0.0000 0.1046 (multiplicity 4)
Ni: 0.0000 0.0000 0.5000 (multiplicity 2)
Pd: 0.0000 0.5000 0.2500 (multiplicity 4)

=====

Record 2
Computed, not measured: a geometry-optimized ScNiPd structure at the GGA-PBE level of DFT.

Output
Energy in eV for the cell shown: -70.0
E_form in eV per atom: -0.142
Spin magnetization in Bohr magnetons per cell: 0.0
Volume in Å³ per atom: 18.01

Cell lengths 6.0006, 6.0006, 6.0006 Å; angles 90.00, 90.00, 90.00 degrees
Space group F-43m (No. 216)
One atom of each set of equivalent atoms:
Sc: 0.0000 0.0000 0.0000 (multiplicity 4)
Ni: 0.2500 0.2500 0.7500 (multiplicity 4)
Pd: 0.2500 0.2500 0.2500 (multiplicity 4)